# TaMo3I (PBE, optimized geometry)
data_TaMo3I
_space_group_name_H-M_alt 'P m -3 m'
_space_group_IT_number 221
_space_group_name_Hall '-P 4 2 3'
_cell_length_a 4.8853
_cell_length_b 4.8853
_cell_length_c 4.8853
_cell_angle_alpha 90.00
_cell_angle_beta 90.00
_cell_angle_gamma 90.00
loop_
_atom_site_label
_atom_site_type_symbol
_atom_site_fract_x
_atom_site_fract_y
_atom_site_fract_z
Ta1 Ta 0.0000 0.0000 0.0000
Mo1 Mo 0.0000 0.0000 0.5000
I1 I 0.5000 0.5000 0.5000
# Formation energy (no corrections) in eV per atom: 2.000
# Density of states at the Fermi level in states/eV/cell: 8.88

# Ta2MoI (PBE, optimized geometry)
data_Ta2MoI
_space_group_name_H-M_alt 'I -4 2 d'
_space_group_IT_number 122
_space_group_name_Hall 'I -4 2bw'
_cell_length_a 4.0400
_cell_length_b 4.0400
_cell_length_c 19.8539
_cell_angle_alpha 90.00
_cell_angle_beta 90.00
_cell_angle_gamma 90.00
loop_
_atom_site_label
_atom_site_type_symbol
_atom_site_fract_x
_atom_site_fract_y
_atom_site_fract_z
Ta1 Ta 0.2477 0.2500 0.1250
Mo1 Mo 0.0000 0.0000 0.0000
I1 I 0.0000 0.0000 0.5000
# Formation energy (no corrections) in eV per atom: 1.152
# Density of states at the Fermi level in states/eV/cell: 18.95

# Ta2MoI (PBE, optimized geometry)
data_Ta2MoI
_space_group_name_H-M_alt 'F m -3 m'
_space_group_IT_number 225
_space_group_name_Hall '-F 4 2 3'
_cell_length_a 6.7053
_cell_length_b 6.7053
_cell_length_c 6.7053
_cell_angle_alpha 90.00
_cell_angle_beta 90.00
_cell_angle_gamma 90.00
loop_
_atom_site_label
_atom_site_type_symbol
_atom_site_fract_x
_atom_site_fract_y
_atom_site_fract_z
Ta1 Ta 0.2500 0.2500 0.2500
Mo1 Mo 0.0000 0.0000 0.0000
I1 I 0.0000 0.0000 0.5000
# Formation energy (no corrections) in eV per atom: 0.886
# Density of states at the Fermi level in states/eV/cell: 17.69

# TaMoI2 (PBE, optimized geometry)
data_TaMoI2
_space_group_name_H-M_alt 'I -4 2 d'
_space_group_IT_number 122
_space_group_name_Hall 'I -4 2bw'
_cell_length_a 4.6707
_cell_length_b 4.6707
_cell_length_c 17.5178
_cell_angle_alpha 90.00
_cell_angle_beta 90.00
_cell_angle_gamma 90.00
loop_
_atom_site_label
_atom_site_type_symbol
_atom_site_fract_x
_atom_site_fract_y
_atom_site_fract_z
Ta1 Ta 0.0000 0.0000 0.0000
Mo1 Mo 0.0000 0.0000 0.5000
I1 I 0.2454 0.2500 0.6250
# Formation energy (no corrections) in eV per atom: 1.066
# Density of states at the Fermi level in states/eV/cell: 7.44

# TaMo2I (PBE, optimized geometry)
data_TaMo2I
_space_group_name_H-M_alt 'I -4 2 d'
_space_group_IT_number 122
_space_group_name_Hall 'I -4 2bw'
_cell_length_a 3.9537
_cell_length_b 3.9537
_cell_length_c 20.1339
_cell_angle_alpha 90.00
_cell_angle_beta 90.00
_cell_angle_gamma 90.00
loop_
_atom_site_label
_atom_site_type_symbol
_atom_site_fract_x
_atom_site_fract_y
_atom_site_fract_z
Ta1 Ta 0.0000 0.0000 0.0000
Mo1 Mo 0.2187 0.2500 0.1250
I1 I 0.0000 0.0000 0.5000
# Formation energy (no corrections) in eV per atom: 1.237
# Density of states at the Fermi level in states/eV/cell: 16.77

# TaMo2I (PBE, optimized geometry)
data_TaMo2I
_space_group_name_H-M_alt 'F m -3 m'
_space_group_IT_number 225
_space_group_name_Hall '-F 4 2 3'
_cell_length_a 6.5886
_cell_length_b 6.5886
_cell_length_c 6.5886
_cell_angle_alpha 90.00
_cell_angle_beta 90.00
_cell_angle_gamma 90.00
loop_
_atom_site_label
_atom_site_type_symbol
_atom_site_fract_x
_atom_site_fract_y
_atom_site_fract_z
Ta1 Ta 0.0000 0.0000 0.0000
Mo1 Mo 0.2500 0.2500 0.2500
I1 I 0.0000 0.0000 0.5000
# Formation energy (no corrections) in eV per atom: 0.795
# Density of states at the Fermi level in states/eV/cell: 9.67

# TaMoI2 (PBE, optimized geometry)
data_TaMoI2
_space_group_name_H-M_alt 'F m -3 m'
_space_group_IT_number 225
_space_group_name_Hall '-F 4 2 3'
_cell_length_a 6.8196
_cell_length_b 6.8196
_cell_length_c 6.8196
_cell_angle_alpha 90.00
_cell_angle_beta 90.00
_cell_angle_gamma 90.00
loop_
_atom_site_label
_atom_site_type_symbol
_atom_site_fract_x
_atom_site_fract_y
_atom_site_fract_z
Ta1 Ta 0.0000 0.0000 0.0000
Mo1 Mo 0.0000 0.0000 0.5000
I1 I 0.2500 0.2500 0.2500
# Formation energy (no corrections) in eV per atom: 1.044
# Density of states at the Fermi level in states/eV/cell: 12.50

# TaMo3I (PBE, optimized geometry)
data_TaMo3I
_space_group_name_H-M_alt 'P m -3 m'
_space_group_IT_number 221
_space_group_name_Hall '-P 4 2 3'
_cell_length_a 4.7798
_cell_length_b 4.7798
_cell_length_c 4.7798
_cell_angle_alpha 90.00
_cell_angle_beta 90.00
_cell_angle_gamma 90.00
loop_
_atom_site_label
_atom_site_type_symbol
_atom_site_fract_x
_atom_site_fract_y
_atom_site_fract_z
Ta1 Ta 0.0000 0.0000 0.0000
Mo1 Mo 0.0000 0.5000 0.5000
I1 I 0.5000 0.5000 0.5000
# Formation energy (no corrections) in eV per atom: 2.184
# Density of states at the Fermi level in states/eV/cell: 3.20

> Which formula does entry 5 have?

TaMo2I